# 1
The following is a PBE calculation of a relaxed Tb2Hg2Au crystal, from Alexandria via LeMat-Bulk.

Results
volume	26.2	A^3/atom
SG	No. 72
calculated formation energy	-40.4	kJ/mol of atoms
relative energy among the computed polymorphs	76	meV per atom

Unit cell a=7.8625 b=7.8625 c=7.8625 alpha=129.21 beta=70.40 gamma=134.69
With the nearest neighbours (Å) after each atom.
Fractional positions:
Tb 0.1592 0.2204 0.3796  2 Au 2.95, 4 Hg 3.03-3.23
Tb 0.3408 0.7204 0.0612  2 Au 2.95, 4 Hg 3.03-3.23
Tb 0.6592 0.2796 0.9388  2 Au 2.95, 4 Hg 3.03-3.23
Tb 0.8408 0.7796 0.6204  2 Au 2.95, 4 Hg 3.03-3.23
Hg 0.1004 0.6552 0.7555  4 Tb 3.03-3.23, 2 Au 3.06, 1 Hg 3.32
Hg 0.3996 0.1552 0.5548  4 Tb 3.03-3.23, 2 Au 3.06, 1 Hg 3.32
Hg 0.6004 0.8448 0.4452  4 Tb 3.03-3.23, 2 Au 3.06, 1 Hg 3.32
Hg 0.8996 0.3448 0.2445  4 Tb 3.03-3.23, 2 Au 3.06, 1 Hg 3.32
Au 0.2500 0.2500 0.0000  4 Tb 2.95, 2 Au 3.03, 4 Hg 3.06
Au 0.7500 0.7500 0.0000  4 Tb 2.95, 2 Au 3.03, 4 Hg 3.06

---

# 2
The following is a PBE calculation of a relaxed AsI3 crystal, from Alexandria via LeMat-Bulk.

Results
formation energy without anion corrections	-0.031	eV/atom
volume	47.8	A^3/atom
SG	No. 44

Unit cell a=7.6696 b=7.6696 c=7.6696 alpha=150.89 beta=69.84 gamma=118.10
With the nearest neighbours (Å) after each atom.
Fractional positions:
As 0.0000 0.0000 0.0000  6 I 2.93-2.94
I 0.0125 0.3601 0.6524  2 As 2.93
I 0.2809 0.7809 0.5000  2 As 2.94
I 0.7077 0.3601 0.3476  2 As 2.93

---

# 3
The following is a PBE calculation of a relaxed Ba6Tl2Zn crystal, from Alexandria via LeMat-Bulk.

Results
volume	49.3	A^3/atom
SG	No. 14
calculated formation energy	-17.0	kJ/mol of atoms
relative energy among the computed polymorphs	0	meV per atom

Unit cell a=8.1354 b=9.2898 c=13.6792 alpha=90.00 beta=120.93 gamma=90.00
With the nearest neighbours (Å) after each atom.
Fractional positions:
Ba 0.1014 0.0368 0.2424  1 Zn 3.36, 2 Tl 3.58-3.63
Ba 0.1014 0.4632 0.7424  1 Zn 3.36, 2 Tl 3.58-3.63
Ba 0.2194 0.6783 0.0712  1 Zn 3.35, 1 Tl 3.59
Ba 0.2194 0.8217 0.5712  1 Zn 3.35, 1 Tl 3.59
Ba 0.3899 0.1745 0.0615  1 Zn 3.38, 2 Tl 3.62-3.66
Ba 0.3899 0.3255 0.5615  1 Zn 3.38, 2 Tl 3.62-3.66
Ba 0.6101 0.6745 0.4385  1 Zn 3.38, 2 Tl 3.62-3.66
Ba 0.6101 0.8255 0.9385  1 Zn 3.38, 2 Tl 3.62-3.66
Ba 0.7806 0.1783 0.4288  1 Zn 3.35, 1 Tl 3.59
Ba 0.7806 0.3217 0.9288  1 Zn 3.35, 1 Tl 3.59
Ba 0.8986 0.5367 0.2576  1 Zn 3.36, 2 Tl 3.58-3.63
Ba 0.8986 0.9632 0.7576  1 Zn 3.36, 2 Tl 3.58-3.63
Tl 0.3114 0.1183 0.7615  7 Ba 3.58-3.85
Tl 0.3114 0.3817 0.2615  7 Ba 3.58-3.85
Tl 0.6886 0.6183 0.7385  7 Ba 3.58-3.85
Tl 0.6886 0.8817 0.2385  7 Ba 3.58-3.85
Zn 0.5000 0.0000 0.5000  6 Ba 3.35-3.38
Zn 0.5000 0.5000 0.0000  6 Ba 3.35-3.38

---

# 4
The following is a PBE calculation of a relaxed Pm2Al4CuPt3 crystal, from Alexandria via LeMat-Bulk.

Results
volume	18.9	A^3/atom
SG	No. 115
calculated formation energy	-93.2	kJ/mol of atoms

Unit cell a=4.2375 b=4.2375 c=10.5530 alpha=90.00 beta=90.00 gamma=90.00
With the nearest neighbours (Å) after each atom.
Fractional positions:
Pm 0.0000 0.5000 0.2489  6 Pt 3.23-3.39, 8 Al 3.27-3.37, 2 Cu 3.39
Pm 0.5000 0.0000 0.7511  6 Pt 3.23-3.39, 8 Al 3.27-3.37, 2 Cu 3.39
Al 0.0000 0.0000 0.0000  4 Pt 2.55
Al 0.0000 0.5000 0.6269  2 Cu 2.51, 3 Pt 2.51
Al 0.5000 0.0000 0.3731  2 Cu 2.51, 3 Pt 2.51
Al 0.5000 0.5000 0.0000  4 Pt 2.55
Cu 0.0000 0.0000 0.5000  4 Al 2.51
Pt 0.0000 0.5000 0.8648  5 Al 2.51-2.55
Pt 0.5000 0.0000 0.1352  5 Al 2.51-2.55
Pt 0.5000 0.5000 0.5000  4 Al 2.51

---

# 5
The following is a PBE calculation of a relaxed Zr2Al2Cu crystal, from Alexandria via LeMat-Bulk.

Results
volume	20.7	A^3/atom
SG	No. 129
calculated formation energy	26.0	kJ/mol of atoms
relative energy among the computed polymorphs	685	meV per atom

Unit cell a=3.7551 b=3.7551 c=14.6509 alpha=90.00 beta=90.00 gamma=90.00
With the nearest neighbours (Å) after each atom.
Fractional positions:
Zr 0.2500 0.2500 0.1555  5 Al 2.78-2.95
Zr 0.2500 0.7500 0.5000  4 Zr 2.66, 4 Al 2.95
Zr 0.7500 0.2500 0.5000  4 Zr 2.66, 4 Al 2.95
Zr 0.7500 0.7500 0.8445  5 Al 2.78-2.95
Al 0.2500 0.2500 0.3450  4 Cu 2.67, 5 Zr 2.78-2.95
Al 0.2500 0.7500 0.0000  4 Al 2.66, 4 Zr 2.95
Al 0.7500 0.2500 0.0000  4 Al 2.66, 4 Zr 2.95
Al 0.7500 0.7500 0.6550  4 Cu 2.67, 5 Zr 2.78-2.95
Cu 0.2500 0.2500 0.6710  4 Al 2.67
Cu 0.7500 0.7500 0.3290  4 Al 2.67

---

# 6
The following is a PBE calculation of a relaxed Ho2ThCd crystal, from Alexandria via LeMat-Bulk.

Results
volume	28.8	A^3/atom
SG	No. 123
calculated formation energy	-3.2	kJ/mol of atoms
relative energy among the computed polymorphs	130	meV per atom

Unit cell a=4.8737 b=4.8737 c=4.8578 alpha=90.00 beta=90.00 gamma=90.00
With the nearest neighbours (Å) after each atom.
Fractional positions:
Ho 0.0000 0.5000 0.0000  4 Cd 3.44, 4 Th 3.44, 4 Ho 3.45
Ho 0.5000 0.0000 0.0000  4 Cd 3.44, 4 Th 3.44, 4 Ho 3.45
Th 0.0000 0.0000 0.5000  8 Ho 3.44, 4 Cd 3.45
Cd 0.5000 0.5000 0.5000  8 Ho 3.44, 4 Th 3.45

---

# 7
The following is a PBE calculation of a relaxed U2HRh9 crystal, from Alexandria via LeMat-Bulk.

Results
VASP energy	-95.26	eV per formula unit
volume	15.1	A^3/atom
SG	No. 123

Unit cell a=4.0294 b=4.0294 c=11.1299 alpha=90.00 beta=90.00 gamma=90.00
With the nearest neighbours (Å) after each atom.
Fractional positions:
U 0.0000 0.0000 0.1840  12 Rh 2.76-2.87
U 0.0000 0.0000 0.8160  12 Rh 2.76-2.87
H 0.0000 0.0000 0.5000  12 Rh 2.59-2.85
Rh 0.0000 0.5000 0.0000  8 Rh 2.81-2.85, 4 U 2.87
Rh 0.0000 0.5000 0.3536  2 H 2.59, 8 Rh 2.59-2.85, 2 U 2.76
Rh 0.0000 0.5000 0.6464  8 Rh 2.59-2.85, 2 H 2.59, 2 U 2.76
Rh 0.5000 0.0000 0.0000  8 Rh 2.81-2.85, 4 U 2.87
Rh 0.5000 0.0000 0.3536  2 H 2.59, 8 Rh 2.59-2.85, 2 U 2.76
Rh 0.5000 0.0000 0.6464  8 Rh 2.59-2.85, 2 H 2.59, 2 U 2.76
Rh 0.5000 0.5000 0.1755  8 Rh 2.81-2.83, 4 U 2.85
Rh 0.5000 0.5000 0.5000  8 Rh 2.59, 4 H 2.85
Rh 0.5000 0.5000 0.8245  8 Rh 2.81-2.83, 4 U 2.85

---

# 8
The following is a PBE calculation of a relaxed Mn2PdI2 crystal, from Alexandria via LeMat-Bulk.

Results
formation energy without anion corrections	1.078	eV/atom
volume	17.8	A^3/atom
SG	No. 127
relative energy among the computed polymorphs	578	meV per atom

Unit cell a=7.4660 b=7.4660 c=3.1987 alpha=90.00 beta=90.00 gamma=90.00
With the nearest neighbours (Å) after each atom.
Fractional positions:
Mn 0.1392 0.3608 0.0000  6 I 2.67-2.74, 1 Mn 2.94
Mn 0.3608 0.8608 0.0000  6 I 2.67-2.74, 1 Mn 2.94
Mn 0.6392 0.1392 0.0000  6 I 2.67-2.74, 1 Mn 2.94
Mn 0.8608 0.6392 0.0000  6 I 2.67-2.74, 1 Mn 2.94
Pd 0.0000 0.0000 0.5000  4 I 2.81
Pd 0.5000 0.5000 0.5000  4 I 2.81
I 0.1586 0.6586 0.5000  6 Mn 2.67-2.74, 2 Pd 2.81
I 0.3414 0.1586 0.5000  6 Mn 2.67-2.74, 2 Pd 2.81
I 0.6586 0.8414 0.5000  6 Mn 2.67-2.74, 2 Pd 2.81
I 0.8414 0.3414 0.5000  6 Mn 2.67-2.74, 2 Pd 2.81